! Lu5Cd PBE relaxed; values from VASP
! E_tot	-23.80	eV per cell
! energy relative to the elements	-47	meV/atom
! symmetry	Cmmm, No. 65
&SYSTEM
  ibrav = 0, nat = 6, ntyp = 2
/
ATOMIC_SPECIES
Lu 174.97 Lu.upf
Cd 112.41 Cd.upf
ATOMIC_POSITIONS crystal
Lu 0.500 0.832 0.663
Lu 0.000 0.664 0.327
Lu 0.500 0.500 0.000
Lu 0.000 0.336 0.673
Lu 0.500 0.168 0.337
Cd 0.000 0.000 0.000
CELL_PARAMETERS angstrom
4.756 0.000 0.000
0.000 4.767 0.000
0.000 -2.383 7.324